{
  "formula": "Pm3Si7Ir2",
  "functional": "PBE",
  "state": "optimized geometry",
  "total_magnetization_mub_per_atom": 0.000,
  "dos_ef_per_ev_cell": 6.397,
  "formation_energy_uncorrected_ev_per_atom": -0.73,
  "crystal_system": "monoclinic",
  "cell": [[-0.2374, 2.6473, -3.2462], [-4.1066, -0.9657, -0.4873], [-1.4694, 9.7877, 8.0893]],
  "species": ["Si", "Pm", "Si", "Pm", "Si", "Pm", "Si", "Ir", "Si", "Si", "Si", "Ir"],
  "fractional_positions": [[0.0000, 0.0000, 0.0000], [0.0000, 0.8001, 0.6326], [0.0000, 0.6863, 0.1732], [0.0000, 0.1999, 0.3674], [0.5000, 0.7265, 0.4472], [0.5000, 0.5000, 0.0000], [0.0000, 0.3137, 0.8268], [0.5000, 0.3702, 0.7408], [0.5000, 0.0998, 0.1733], [0.5000, 0.9002, 0.8267], [0.5000, 0.2735, 0.5528], [0.5000, 0.6298, 0.2592]]
}



{
  "formula": "TlP2",
  "functional": "PBE",
  "state": "optimized geometry",
  "total_magnetization_mub_per_atom": 0.006,
  "dos_ef_per_ev_cell": 5.230,
  "crystal_system": "hexagonal",
  "relative_energy_ev_per_fu": 0.40,
  "formation_enthalpy_0k_ev_per_atom": 0.1692,
  "cell": [[-6.6784, 6.0395, -3.8467], [-2.2549, -5.4547, 7.8125], [1.0481, 2.4340, 2.0019]],
  "species": ["P", "Tl", "P", "P", "Tl", "P", "P", "P", "Tl"],
  "fractional_positions": [[0.2968, 0.0000, 0.0000], [0.6667, 0.3333, 0.0000], [0.5615, 0.5615, 0.5000], [0.7032, 0.7032, 0.0000], [0.0000, 0.0000, 0.5000], [0.0000, 0.2968, 0.0000], [0.4385, 0.0000, 0.5000], [0.0000, 0.4385, 0.5000], [0.3333, 0.6667, 0.0000]]
}



{
  "formula": "MgTaI2O",
  "functional": "PBE",
  "state": "optimized geometry",
  "total_magnetization_mub_per_atom": 0.159,
  "dos_ef_per_ev_cell": 2.913,
  "formation_energy_uncorrected_ev_per_atom": -0.60,
  "crystal_system": "tetragonal",
  "relative_energy_ev_per_fu": 0.00,
  "cell": [[-2.9788, -4.9565, 0.6051], [4.9919, -2.9392, 0.4985], [-0.0799, 0.5199, 3.8652]],
  "species": ["Mg", "Ta", "I", "O", "I"],
  "fractional_positions": [[0.5000, 0.5000, 0.5000], [0.0000, 0.0000, 0.0000], [0.0000, 0.5000, 0.0000], [0.0000, 0.0000, 0.5000], [0.5000, 0.0000, 0.0000]]
}



{
  "formula": "Mg7TlPb4",
  "functional": "PBE",
  "state": "optimized geometry",
  "total_magnetization_mub_per_atom": 0.000,
  "dos_ef_per_ev_cell": 4.539,
  "crystal_system": "trigonal",
  "relative_energy_ev_per_fu": 0.00,
  "formation_enthalpy_0k_ev_per_atom": -0.0173,
  "cell": [[-4.4035, -2.1968, 1.6321], [3.9693, -2.9684, -1.5210], [4.6499, -0.1247, 12.3781]],
  "species": ["Pb", "Mg", "Mg", "Mg", "Mg", "Mg", "Pb", "Pb", "Pb", "Tl", "Mg", "Mg"],
  "fractional_positions": [[0.6667, 0.3333, 0.3387], [0.0000, 0.0000, 0.7527], [0.6667, 0.3333, 0.5859], [0.0000, 0.0000, 0.0000], [0.3333, 0.6667, 0.4141], [0.6667, 0.3333, 0.8375], [0.3333, 0.6667, 0.6613], [0.6667, 0.3333, 0.0873], [0.3333, 0.6667, 0.9127], [0.0000, 0.0000, 0.5000], [0.3333, 0.6667, 0.1625], [0.0000, 0.0000, 0.2473]]
}